Here is Ca2InBr2 after structural relaxation from the Alexandria database. Energies are from PBE.

POSCAR file:
```
Ca2InBr2
1.0
4.837 0.000 0.000
0.000 4.837 0.000
2.418 2.418 7.088
Ca Br In
2 2 1
direct
0.373 0.373 0.254
0.627 0.627 0.746
0.750 0.250 0.500
0.250 0.750 0.500
0.000 0.000 0.000
```

Computed properties:
Uncorrected formation energy = -1.037 eV/atom
D(E_F) = 0.51 states/eV per atom
Offset from the most stable computed form = 0.00 eV/f.u.
SG = I4/mmm
Magnetization = 0.00 μB/f.u.